DFT (PBE) results for a geometry-optimized Li3Pa3NbN8 structure.

a b c (Å): 6.924 6.924 6.366
angles (deg): 122.95 90.00 120.00
Element x y z (fractional)
Li 0.000 0.500 0.000
Li 0.000 0.000 0.000
Li 0.500 0.500 0.000
Nb 0.000 0.000 0.500
Pa 0.500 0.000 0.500
Pa 0.500 0.500 0.500
Pa 0.000 0.500 0.500
N 0.262 0.525 0.287
N 0.774 0.548 0.292
N 0.738 0.475 0.713
N 0.774 0.018 0.292
N 0.245 0.018 0.292
N 0.755 0.982 0.708
N 0.226 0.452 0.708
N 0.226 0.982 0.708

**Calculated density**: 7.4 g/cm3
**Formation energy (no corrections)**: -1.079 eV per atom
**Total DFT energy (no corrections)**: -8.47 eV per atom
**Spin magnetization**: 0.000 μB/f.u.
**SG**: R-3m (166)